Record 1
Entry from Alexandria: NdCl3 at its PBEsol-relaxed geometry (SCAN).

Calculated values
uncorrected formation energy	-2597	meV/atom

a = 4.2005 Å, b = 7.3576 Å, c = 7.3576 Å
α = 120.00°, β = 90.00°, γ = 90.00°
Sites, in units of the cell vectors:
Nd 0.7500 0.6667 0.3333
Nd 0.2500 0.3333 0.6667
Cl 0.7500 0.3022 0.3879
Cl 0.2500 0.3879 0.0857
Cl 0.2500 0.6978 0.6121
Cl 0.7500 0.6121 0.9143
Cl 0.7500 0.0857 0.6978
Cl 0.2500 0.9143 0.3022

Record 2
Entry from Alexandria: CsCu2Br3 at its PBEsol-relaxed geometry (SCAN).

Calculated values
uncorrected formation energy	-885	meV/atom

a = 5.6468 Å, b = 7.7608 Å, c = 7.7608 Å
α = 104.31°, β = 90.00°, γ = 90.00°
Sites, in units of the cell vectors:
Cs 0.7500 0.6698 0.3302
Cs 0.2500 0.3302 0.6698
Cu 0.0000 0.1354 0.1354
Cu 0.5000 0.8646 0.8646
Cu 0.0000 0.8646 0.8646
Cu 0.5000 0.1354 0.1354
Br 0.7500 0.1303 0.8697
Br 0.2500 0.8697 0.1303
Br 0.7500 0.1625 0.3958
Br 0.2500 0.8375 0.6042
Br 0.2500 0.3958 0.1625
Br 0.7500 0.6042 0.8375

Record 3
Entry from Alexandria: CoAg2BAu at its PBEsol-relaxed geometry (SCAN).

Calculated values
DFT total energy	-29.547	eV/atom

a = 4.6290 Å, b = 5.0219 Å, c = 5.0219 Å
α = 90.00°, β = 90.00°, γ = 90.00°
Sites, in units of the cell vectors:
Co 0.5000 0.0000 0.0000
B 0.5000 0.5000 0.5000
Au 0.0000 0.0000 0.0000
Ag 0.0000 0.0000 0.5000
Ag 0.0000 0.5000 0.0000

Record 4
Entry from Alexandria: CsCd2Pb2 at its PBEsol-relaxed geometry (SCAN).

Calculated values
DFT total energy	-50.251	eV/atom

a = 5.0741 Å, b = 5.0741 Å, c = 7.2275 Å
α = 110.55°, β = 110.55°, γ = 90.00°
Sites, in units of the cell vectors:
Pb 0.3773 0.3773 0.7545
Pb 0.6227 0.6227 0.2455
Cs 0.0000 0.0000 0.0000
Cd 0.2500 0.7500 0.5000
Cd 0.7500 0.2500 0.5000

Record 5
Entry from Alexandria: BaCaRu2 at its PBEsol-relaxed geometry (SCAN).

Calculated values
energy above the lowest structure with this stoichiometry	0.0000	eV per atom

a = 3.0826 Å, b = 3.6363 Å, c = 8.8921 Å
α = 90.00°, β = 90.00°, γ = 90.00°
Sites, in units of the cell vectors:
Ru 0.0000 0.0000 0.0669
Ru 0.5000 0.5000 0.1638
Ca 0.5000 0.5000 0.8390
Ba 0.0000 0.0000 0.4303

Record 6
Entry from Alexandria: MnAg2Au at its PBEsol-relaxed geometry (SCAN).

Calculated values
DFT total energy	-37.716	eV/atom

a = 4.0229 Å, b = 4.0229 Å, c = 4.8799 Å
α = 114.34°, β = 114.34°, γ = 90.00°
Sites, in units of the cell vectors:
Mn 0.7500 0.2500 0.5000
Au 0.5000 0.5000 0.0000
Ag 0.0000 0.0000 0.0000
Ag 0.2500 0.7500 0.5000

Record 7
Entry from Alexandria: ReSiCl at its PBEsol-relaxed geometry (SCAN).

Calculated values
uncorrected formation energy	1970	meV/atom

a = 4.0983 Å, b = 4.0983 Å, c = 4.0983 Å
α = 60.00°, β = 60.00°, γ = 60.00°
Sites, in units of the cell vectors:
Re 0.0000 0.0000 0.0000
Si 0.5000 0.5000 0.5000
Cl 0.2500 0.2500 0.2500

Record 8
Entry from Alexandria: BeIBr2 at its PBEsol-relaxed geometry (SCAN).

Calculated values
energy above the lowest structure with this stoichiometry	0.0000	eV per atom
uncorrected formation energy	-408	meV/atom

a = 6.7718 Å, b = 6.7718 Å, c = 6.7718 Å
α = 94.43°, β = 117.47°, γ = 117.47°
Sites, in units of the cell vectors:
I 0.0000 0.0000 0.0000
I 0.5000 0.7500 0.2500
Be 0.0000 0.5000 0.5000
Be 0.5000 0.2500 0.7500
Br 0.8410 0.4660 0.1250
Br 0.1590 0.2840 0.6250
Br 0.6590 0.3750 0.5340
Br 0.3410 0.8750 0.7160

Record 9
Entry from Alexandria: Na4Bi2O5 at its PBEsol-relaxed geometry (SCAN).

Calculated values
energy above the lowest structure with this stoichiometry	0.0752	eV per atom
uncorrected formation energy	-1382	meV/atom

a = 4.8455 Å, b = 10.0969 Å, c = 15.2068 Å
α = 90.00°, β = 90.00°, γ = 90.00°
Sites, in units of the cell vectors:
Na 0.5215 0.8540 0.0166
Na 0.9785 0.6460 0.0166
Na 0.2500 0.7500 0.1675
Na 0.5000 0.0028 0.2500
Na 0.0000 0.4972 0.2500
Na 0.7500 0.7500 0.3325
Na 0.0215 0.6460 0.4834
Na 0.4785 0.8540 0.4834
Na 0.5215 0.1460 0.5166
Na 0.9785 0.3540 0.5166
Na 0.2500 0.2500 0.6675
Na 0.0000 0.5028 0.7500
Na 0.5000 0.9972 0.7500
Na 0.7500 0.2500 0.8325
Na 0.0215 0.3540 0.9834
Na 0.4785 0.1460 0.9834
Bi 0.5202 0.4577 0.1146
Bi 0.9798 0.0423 0.1146
Bi 0.0202 0.0423 0.3854
Bi 0.4798 0.4577 0.3854
Bi 0.5202 0.5423 0.6146
Bi 0.9798 0.9577 0.6146
Bi 0.0202 0.9577 0.8854
Bi 0.4798 0.5423 0.8854
O 0.0260 0.8666 0.0426
O 0.4740 0.6334 0.0426
O 0.9572 0.4680 0.1107
O 0.5428 0.0320 0.1107
O 0.0000 0.9269 0.2500
O 0.5000 0.5731 0.2500
O 0.0428 0.4680 0.3893
O 0.4572 0.0320 0.3893
O 0.5260 0.6334 0.4574
O 0.9740 0.8666 0.4574
O 0.0260 0.1334 0.5426
O 0.4740 0.3666 0.5426
O 0.5428 0.9680 0.6107
O 0.9572 0.5320 0.6107
O 0.0000 0.0731 0.7500
O 0.5000 0.4269 0.7500
O 0.0428 0.5320 0.8893
O 0.4572 0.9680 0.8893
O 0.5260 0.3666 0.9574
O 0.9740 0.1334 0.9574

Record 10
Entry from Alexandria: TiHg3Au at its PBEsol-relaxed geometry (SCAN).

Calculated values
DFT total energy	-57.354	eV/atom

a = 5.1355 Å, b = 5.1355 Å, c = 5.1355 Å
α = 90.00°, β = 90.00°, γ = 90.00°
Sites, in units of the cell vectors:
Au 0.0000 0.0000 0.0000
Hg 0.0000 0.5000 0.0000
Hg 0.0000 0.0000 0.5000
Hg 0.5000 0.0000 0.0000
Ti 0.5000 0.5000 0.5000

Record 11
Entry from Alexandria: LiTl2Cd at its PBEsol-relaxed geometry (SCAN).

Calculated values
DFT total energy	-44.483	eV/atom

a = 3.2907 Å, b = 3.2907 Å, c = 8.4986 Å
α = 90.00°, β = 90.00°, γ = 90.00°
Sites, in units of the cell vectors:
Tl 0.0000 0.0000 0.9605
Tl 0.5000 0.5000 0.2623
Cd 0.0000 0.0000 0.5399
Li 0.5000 0.5000 0.7373

Record 12
Entry from Alexandria: BeHg3S at its PBEsol-relaxed geometry (SCAN).

Calculated values
energy above the lowest structure with this stoichiometry	0.0000	eV per atom
uncorrected formation energy	374	meV/atom

a = 4.7259 Å, b = 4.7259 Å, c = 4.7259 Å
α = 90.00°, β = 90.00°, γ = 90.00°
Sites, in units of the cell vectors:
Be 0.0000 0.0000 0.0000
S 0.5000 0.5000 0.5000
Hg 0.0000 0.5000 0.0000
Hg 0.0000 0.0000 0.5000
Hg 0.5000 0.0000 0.0000

Record 13
Entry from Alexandria: LiSi2Rh at its PBEsol-relaxed geometry (SCAN).

Calculated values
energy above the lowest structure with this stoichiometry	0.1558	eV per atom
uncorrected formation energy	-300	meV/atom

a = 3.1013 Å, b = 3.1013 Å, c = 5.2812 Å
α = 90.00°, β = 90.00°, γ = 90.00°
Sites, in units of the cell vectors:
Li 0.5000 0.5000 0.0000
Rh 0.5000 0.5000 0.5000
Si 0.0000 0.0000 0.7533
Si 0.0000 0.0000 0.2467

Record 14
Entry from Alexandria: Al2TcPt at its PBEsol-relaxed geometry (SCAN).

Calculated values
DFT total energy	-31.065	eV/atom

a = 2.9578 Å, b = 3.1512 Å, c = 5.9635 Å
α = 90.00°, β = 90.00°, γ = 90.00°
Sites, in units of the cell vectors:
Tc 0.5000 0.5000 0.5000
Pt 0.5000 0.5000 0.0000
Al 0.0000 0.0000 0.7391
Al 0.0000 0.0000 0.2609

Record 15
Entry from Alexandria: ScCuAs3 at its PBEsol-relaxed geometry (SCAN).

Calculated values
DFT total energy	-17.389	eV/atom

a = 4.9667 Å, b = 4.9667 Å, c = 4.9667 Å
α = 90.00°, β = 90.00°, γ = 90.00°
Sites, in units of the cell vectors:
Sc 0.0000 0.0000 0.0000
As 0.0000 0.5000 0.0000
As 0.0000 0.0000 0.5000
As 0.5000 0.0000 0.0000
Cu 0.5000 0.5000 0.5000

Record 16
Entry from Alexandria: CoIr2Se at its PBEsol-relaxed geometry (SCAN).

Calculated values
uncorrected formation energy	480	meV/atom

a = 2.7099 Å, b = 2.7158 Å, c = 9.0172 Å
α = 90.00°, β = 90.00°, γ = 119.93°
Sites, in units of the cell vectors:
Co 0.5000 0.0000 0.0000
Ir 0.0000 0.0000 0.7690
Ir 0.0000 0.0000 0.2310
Se 0.5000 0.0000 0.5000

Record 17
Entry from Alexandria: Fe3IF at its PBEsol-relaxed geometry (SCAN).

Calculated values
uncorrected formation energy	1280	meV/atom

a = 4.7019 Å, b = 4.7019 Å, c = 4.7019 Å
α = 90.00°, β = 90.00°, γ = 90.00°
Sites, in units of the cell vectors:
I 0.0000 0.0000 0.0000
Fe 0.0000 0.5000 0.0000
Fe 0.0000 0.0000 0.5000
Fe 0.5000 0.0000 0.0000
F 0.5000 0.5000 0.5000

Record 18
Entry from Alexandria: BaScMnSn2 at its PBEsol-relaxed geometry (SCAN).

Calculated values
DFT total energy	-28.557	eV/atom

a = 5.0804 Å, b = 5.0804 Å, c = 5.3248 Å
α = 90.00°, β = 90.00°, γ = 90.00°
Sites, in units of the cell vectors:
Sc 0.5000 0.5000 0.5000
Mn 0.0000 0.0000 0.0000
Ba 0.0000 0.0000 0.5000
Sn 0.0000 0.5000 0.0000
Sn 0.5000 0.0000 0.0000

Record 19
Entry from Alexandria: K2HPd at its PBEsol-relaxed geometry (SCAN).

Calculated values
DFT total energy	-12.896	eV/atom

a = 5.1746 Å, b = 5.1746 Å, c = 5.1746 Å
α = 60.00°, β = 60.00°, γ = 60.00°
Sites, in units of the cell vectors:
H 0.0000 0.0000 0.0000
K 0.2500 0.2500 0.2500
K 0.7500 0.7500 0.7500
Pd 0.5000 0.5000 0.5000

Record 20
Entry from Alexandria: Ca2LaHg2 at its PBEsol-relaxed geometry (SCAN).

Calculated values
DFT total energy	-40.326	eV/atom

a = 4.2065 Å, b = 8.3457 Å, c = 8.3457 Å
α = 90.00°, β = 90.00°, γ = 90.00°
Sites, in units of the cell vectors:
Ca 0.5000 0.1607 0.6607
Ca 0.5000 0.6607 0.8393
Ca 0.5000 0.8393 0.3393
Ca 0.5000 0.3393 0.1607
Hg 0.0000 0.3657 0.8657
Hg 0.0000 0.8657 0.6343
Hg 0.0000 0.6343 0.1343
Hg 0.0000 0.1343 0.3657
La 0.0000 0.0000 0.0000
La 0.0000 0.5000 0.5000

| no. | V (A^3/atom) |
| --- | --- |
| 1 | 24.6 |
| 2 | 27.5 |
| 3 | 23.3 |
| 4 | 32.3 |
| 5 | 24.9 |
| 6 | 16.0 |
| 7 | 16.2 |
| 8 | 28.4 |
| 9 | 16.9 |
| 10 | 27.1 |
| 11 | 23.0 |
| 12 | 21.1 |
| 13 | 12.7 |
| 14 | 13.9 |
| 15 | 24.5 |
| 16 | 14.4 |
| 17 | 20.8 |
| 18 | 27.5 |
| 19 | 24.5 |
| 20 | 29.3 |